Density functional theory data (PBE) for a geometry-optimized LuReNO structure.

Lattice parameters (Å, degrees): 5.4039 7.7319 5.0401 90.00 90.00 90.00
Closest atoms and distances in Å follow each position.
Element x y z (fractional)
O 0.7493 0.4816 0.5945  4 Lu 2.13-2.17
O 0.2507 0.5184 0.0945  4 Lu 2.13-2.17
O 0.2493 0.5184 0.5945  4 Lu 2.13-2.17
O 0.7507 0.4816 0.0945  4 Lu 2.13-2.17
Re 0.1223 0.0154 0.0436  3 N 2.02-2.08
Re 0.6223 0.9846 0.0436  3 N 2.02-2.08
Re 0.3777 0.0154 0.5436  3 N 2.02-2.08
Re 0.8777 0.9846 0.5436  3 N 2.02-2.08
Lu 0.5190 0.6393 0.3496  4 O 2.13-2.17
Lu 0.4810 0.3607 0.8496  4 O 2.13-2.17
Lu 0.0190 0.3607 0.3496  4 O 2.13-2.17
Lu 0.9810 0.6393 0.8496  4 O 2.13-2.17
N 0.5991 0.8362 0.7147  3 Re 2.02-2.08
N 0.9009 0.8362 0.2147  3 Re 2.02-2.08
N 0.0991 0.1638 0.7147  3 Re 2.02-2.08
N 0.4009 0.1638 0.2147  3 Re 2.02-2.08

Calculated values
The calculation puts the distance to the lowest polymorph of the same formula at 0 meV per atom.

***

Density functional theory data (PBE) for a geometry-optimized LuReNO structure.

Lattice parameters (Å, degrees): 3.7731 3.7731 7.4925 90.00 90.00 90.00
Closest atoms and distances in Å follow each position.
Element x y z (fractional)
Lu 0.2500 0.2500 0.1402  4 O 2.16
Lu 0.7500 0.7500 0.8598  4 O 2.16
N 0.2500 0.2500 0.6327  4 Re 2.13
N 0.7500 0.7500 0.3673  4 Re 2.13
O 0.7500 0.2500 0.0000  4 Lu 2.16
O 0.2500 0.7500 0.0000  4 Lu 2.16
Re 0.2500 0.7500 0.5000  4 N 2.13
Re 0.7500 0.2500 0.5000  4 N 2.13

Calculated values
The calculation puts the distance to the lowest polymorph of the same formula at 324 meV per atom.

***

Density functional theory data (PBE) for a geometry-optimized Lu3S2NO structure.

Lattice parameters (Å, degrees): 7.6408 7.6408 9.2668 99.16 99.16 28.16
Closest atoms and distances in Å follow each position.
Element x y z (fractional)
Lu 0.0524 0.0524 0.2622  1 N 2.17, 2 O 2.18
Lu 0.6095 0.6095 0.9423  2 O 2.23, 2 N 2.25
Lu 0.8027 0.8027 0.3279  1 N 2.11
Lu 0.3905 0.3905 0.0577  2 O 2.23, 2 N 2.25
Lu 0.9476 0.9476 0.7378  1 N 2.17, 2 O 2.18
Lu 0.1973 0.1973 0.6721  1 N 2.11
S 0.2152 0.2152 0.1519  6 Lu 2.67-2.95
S 0.7848 0.7848 0.8481  6 Lu 2.67-2.95
S 0.3649 0.3649 0.5301  5 Lu 2.69-3.00
S 0.6351 0.6351 0.4699  5 Lu 2.69-3.00
O 0.5405 0.5405 0.1384  4 Lu 2.18-2.23
O 0.4595 0.4595 0.8616  4 Lu 2.18-2.23
N 0.9053 0.9053 0.1955  4 Lu 2.11-2.25
N 0.0947 0.0947 0.8045  4 Lu 2.11-2.25

Calculated values
Its raw total energy is -7.4386 eV per atom.

***

Density functional theory data (PBE) for a geometry-optimized LuSbN2O structure.

Lattice parameters (Å, degrees): 8.0650 5.3856 5.6208 90.00 90.00 90.00
Closest atoms and distances in Å follow each position.
Element x y z (fractional)
O 0.0000 0.1162 0.4252  2 Sb 2.16, 2 Lu 2.23-2.33
O 0.5000 0.6163 0.0269  2 Sb 2.16, 2 Lu 2.23-2.33
O 0.5000 0.3837 0.5269  2 Sb 2.16, 2 Lu 2.23-2.33
O 0.0000 0.8838 0.9252  2 Sb 2.16, 2 Lu 2.23-2.33
Sb 0.2501 0.7500 0.9761  4 N 2.06-2.07, 2 O 2.16
Sb 0.7499 0.7500 0.9761  4 N 2.06-2.07, 2 O 2.16
Sb 0.7499 0.2500 0.4761  4 N 2.06-2.07, 2 O 2.16
Sb 0.2501 0.2500 0.4761  4 N 2.06-2.07, 2 O 2.16
N 0.8184 0.4432 0.7787  2 Sb 2.07, 1 Lu 2.26
N 0.8184 0.5568 0.2787  2 Sb 2.07, 1 Lu 2.26
N 0.3183 0.0567 0.1734  2 Sb 2.06-2.07, 1 Lu 2.26
N 0.3183 0.9433 0.6734  2 Sb 2.06-2.07, 1 Lu 2.26
N 0.6817 0.0567 0.1734  2 Sb 2.06-2.07, 1 Lu 2.26
N 0.1816 0.4432 0.7787  2 Sb 2.07, 1 Lu 2.26
N 0.1816 0.5568 0.2787  2 Sb 2.07, 1 Lu 2.26
N 0.6817 0.9433 0.6734  2 Sb 2.06-2.07, 1 Lu 2.26
Lu 0.5000 0.2210 0.9107  2 O 2.23-2.33, 4 N 2.26-2.48
Lu 0.0000 0.7209 0.5413  2 O 2.23-2.33, 4 N 2.26-2.48
Lu 0.0000 0.2791 0.0413  2 O 2.23-2.33, 4 N 2.26-2.48
Lu 0.5000 0.7790 0.4107  2 O 2.23-2.33, 4 N 2.26-2.48

Calculated values
Its raw total energy is -7.0632 eV per atom.

***

> What is the formula in the second record?

LuReNO